[1]
This record from Alexandria describes an optimized crystal structure of TbAl3Ir2. The functional is PBE-GGA.

```
18
Lattice="8.225 -2.063 0.000 8.225 2.063 0.000 -2.791 0.000 9.472" Properties=species:S:1:pos:R:3 pbc="T T T"
Tb 0.000 0.000 0.000
Tb 0.698 0.000 6.726
Tb 12.962 0.000 2.747
Al -0.222 0.000 3.241
Al 2.432 0.000 3.740
Al 5.212 0.000 0.332
Al 3.960 0.000 7.536
Al 6.830 0.000 4.736
Al 9.700 0.000 1.937
Al 8.447 0.000 9.140
Al 11.227 0.000 5.732
Al 13.882 0.000 6.231
Ir 2.763 0.000 1.197
Ir 4.457 0.000 5.124
Ir 7.093 0.000 2.115
Ir 6.567 0.000 7.358
Ir 9.202 0.000 4.348
Ir 10.896 0.000 8.275
```

Results
- Total moment: 0.000 μB/atom
- ρ: 9.68 g/cm³
- Space-group type: C2/m, No. 12
- Raw total energy: -6.425 eV per atom


[2]
This record from Alexandria describes an optimized crystal structure of TbAl3Ir3. The functional is PBE-GGA.

```
14
Lattice="6.691 0.000 0.000 0.000 6.691 0.000 0.000 0.000 6.691" Properties=species:S:1:pos:R:3 pbc="T T T"
Tb 0.000 0.000 0.000
Tb 3.346 3.346 3.346
Al 0.000 1.673 3.346
Al 0.000 5.018 3.346
Al 1.673 3.346 0.000
Al 3.346 0.000 1.673
Al 3.346 0.000 5.018
Al 5.018 3.346 0.000
Ir 0.000 3.346 1.673
Ir 0.000 3.346 5.018
Ir 1.673 0.000 3.346
Ir 3.346 1.673 0.000
Ir 3.346 5.018 0.000
Ir 5.018 0.000 3.346
```

Results
- Total moment: 0.000 μB/atom
- ρ: 9.05 g/cm³
- Space-group type: Pm-3n, No. 223
- Raw total energy: -6.186 eV per atom


[3]
This record from Alexandria describes an optimized crystal structure of TbAl6Ir3. The functional is PBE-GGA.

```
20
Lattice="8.147 0.000 0.000 0.000 4.233 0.000 -1.149 0.000 9.779" Properties=species:S:1:pos:R:3 pbc="T T T"
Tb 0.161 1.058 2.732
Tb 6.837 3.175 7.046
Al 1.068 3.175 0.226
Al 0.525 1.058 5.879
Al 1.696 3.175 7.479
Al 2.339 3.175 2.613
Al 2.994 1.058 4.193
Al 2.711 1.058 8.942
Al 4.288 3.175 0.837
Al 4.004 3.175 5.585
Al 4.659 1.058 7.166
Al 5.302 1.058 2.300
Al 6.473 3.175 3.899
Al 5.930 1.058 9.553
Ir 0.252 1.058 8.471
Ir 1.485 3.175 4.903
Ir 2.880 1.058 1.452
Ir 4.118 3.175 8.326
Ir 5.513 1.058 4.876
Ir 6.746 3.175 1.308
```

Results
- Total moment: 0.000 μB/atom
- ρ: 8.84 g/cm³
- Space-group type: P2_1/m, No. 11
- Raw total energy: -6.151 eV per atom


[4]
This record from Alexandria describes an optimized crystal structure of Tb2Al8Ir. The functional is PBE-GGA.

```
11
Lattice="4.296 0.000 0.000 0.000 4.296 0.000 0.000 0.000 11.201" Properties=species:S:1:pos:R:3 pbc="T T T"
Tb 0.000 0.000 2.138
Tb 0.000 0.000 9.063
Al 0.000 2.148 0.000
Al 0.000 2.148 4.254
Al 0.000 2.148 6.947
Al 2.148 0.000 0.000
Al 2.148 0.000 4.254
Al 2.148 0.000 6.947
Al 2.148 2.148 2.167
Al 2.148 2.148 9.034
Ir 0.000 0.000 5.601
```

Results
- Total moment: 0.000 μB/atom
- ρ: 5.83 g/cm³
- Space-group type: P4/mmm, No. 123
- Raw total energy: -4.926 eV per atom


[5]
This record from Alexandria describes an optimized crystal structure of TbAl2Ir2. The functional is PBE-GGA.

```
10
Lattice="-2.081 2.081 10.525 2.081 -2.081 10.525 2.081 2.081 -10.525" Properties=species:S:1:pos:R:3 pbc="T T T"
Tb 0.000 0.000 2.801
Tb 0.000 0.000 18.250
Al 2.081 0.000 0.000
Al 0.000 0.000 6.580
Al 0.000 2.081 0.000
Al 0.000 0.000 14.471
Ir 2.081 0.000 5.263
Ir 0.000 0.000 9.060
Ir 0.000 0.000 11.991
Ir 0.000 2.081 5.263
```

Results
- Polymorph energy (0 for the lowest one): 27 meV per atom
- Total moment: 0.000 μB/atom
- ρ: 10.88 g/cm³
- Space-group type: I4/mmm, No. 139


[6]
This record from Alexandria describes an optimized crystal structure of Tb3AlIr8. The functional is PBE-GGA.

```
12
Lattice="2.669 1.541 8.664 -2.669 1.541 8.664 0.000 -3.082 8.664" Properties=species:S:1:pos:R:3 pbc="T T T"
Tb 0.000 0.000 0.000
Tb 0.000 0.000 3.329
Tb 0.000 0.000 13.275
Al 0.000 0.000 16.653
Ir -1.335 -0.771 10.338
Ir 0.000 -1.546 6.054
Ir -1.339 0.773 6.054
Ir 0.000 0.000 8.168
Ir 1.335 -0.771 10.338
Ir 0.000 1.541 10.338
Ir 1.339 0.773 6.053
Ir 0.000 0.000 21.176
```

Results
- Total moment: 0.000 μB/atom
- ρ: 15.85 g/cm³
- Space-group type: R3m, No. 160
- Raw total energy: -7.986 eV per atom


[7]
This record from Alexandria describes an optimized crystal structure of Tb8Al2Ir. The functional is PBE-GGA.

```
11
Lattice="9.309 -2.518 0.000 9.309 2.518 0.000 -1.629 0.000 6.421" Properties=species:S:1:pos:R:3 pbc="T T T"
Tb -0.046 0.000 1.816
Tb 2.633 0.000 5.181
Tb 5.665 0.000 3.386
Tb 7.522 0.000 0.342
Tb 9.467 0.000 6.079
Tb 11.324 0.000 3.035
Tb 14.356 0.000 1.240
Tb 17.034 0.000 4.605
Al 3.065 0.000 1.591
Al 13.924 0.000 4.830
Ir 8.494 0.000 3.211
```

Results
- Total moment: 0.000 μB/atom
- ρ: 8.37 g/cm³
- Space-group type: C2/m, No. 12
- Raw total energy: -5.163 eV per atom


[8]
This record from Alexandria describes an optimized crystal structure of TbAl2Ir. The functional is PBE-GGA.

```
32
Lattice="15.196 0.000 0.000 0.000 7.076 0.000 0.000 0.000 5.672" Properties=species:S:1:pos:R:3 pbc="T T T"
Tb 1.523 1.769 1.359
Tb 2.107 5.307 2.621
Tb 5.491 1.769 5.457
Tb 6.075 5.307 4.195
Tb 9.121 1.769 1.477
Tb 9.705 5.307 0.215
Tb 13.089 1.769 3.051
Tb 13.673 5.307 4.313
Al 0.651 0.418 4.283
Al 0.651 3.120 4.283
Al 3.195 3.912 5.338
Al 3.195 6.702 5.338
Al 4.403 0.374 2.502
Al 4.403 3.164 2.502
Al 6.947 3.956 1.447
Al 6.947 6.658 1.447
Al 8.249 0.418 4.224
Al 8.249 3.120 4.224
Al 10.793 3.912 3.170
Al 10.793 6.702 3.170
Al 12.001 0.374 0.334
Al 12.001 3.164 0.334
Al 14.545 3.956 1.389
Al 14.545 6.658 1.389
Ir 1.062 5.307 5.616
Ir 2.871 1.769 4.010
Ir 4.727 5.307 1.174
Ir 6.536 1.769 2.780
Ir 8.660 5.307 2.892
Ir 10.470 1.769 4.498
Ir 12.325 5.307 1.662
Ir 14.135 1.769 0.056
```

Results
- Total moment: 0.000 μB/atom
- ρ: 8.82 g/cm³
- Space-group type: Pnma, No. 62
- Raw total energy: -6.086 eV per atom


[9]
This record from Alexandria describes an optimized crystal structure of Tb2Al9Ir3. The functional is PBE-GGA.

```
28
Lattice="6.529 -3.806 0.000 6.529 3.806 0.000 0.000 0.000 9.494" Properties=species:S:1:pos:R:3 pbc="T T T"
Tb 4.412 2.538 7.121
Tb 8.645 2.538 7.121
Tb 4.412 -2.538 2.374
Tb 8.645 -2.538 2.374
Al 4.348 2.525 0.707
Al 4.348 2.525 4.040
Al 6.529 2.823 2.374
Al 6.529 1.269 5.229
Al 6.529 1.269 9.012
Al 8.710 2.525 0.707
Al 8.710 2.525 4.040
Al 5.165 0.424 2.374
Al 5.165 -0.424 7.121
Al 7.893 0.424 2.374
Al 7.893 -0.424 7.121
Al 4.348 -2.525 5.454
Al 4.348 -2.525 8.787
Al 6.529 -1.269 0.482
Al 6.529 -1.269 4.265
Al 6.529 -2.823 7.121
Al 8.710 -2.525 5.454
Al 8.710 -2.525 8.787
Ir 0.000 0.000 0.000
Ir 0.000 0.000 4.747
Ir 4.284 0.000 0.000
Ir 4.284 0.000 4.747
Ir 8.773 0.000 0.000
Ir 8.773 0.000 4.747
```

Results
- Polymorph energy (0 for the lowest one): 0 meV per atom
- Total moment: 0.000 μB/atom
- ρ: 8.01 g/cm³
- Space-group type: Cmcm, No. 63


[10]
This record from Alexandria describes an optimized crystal structure of Tb3Al3Ir2. The functional is PBE-GGA.

```
32
Lattice="7.775 0.000 0.000 0.000 15.180 0.000 0.000 0.000 5.771" Properties=species:S:1:pos:R:3 pbc="T T T"
Tb 0.234 1.657 0.598
Tb 0.234 5.933 0.598
Tb 1.266 3.795 3.618
Tb 2.621 11.385 0.732
Tb 3.653 9.247 3.483
Tb 3.653 13.523 3.483
Tb 4.122 1.657 2.287
Tb 4.122 5.933 2.287
Tb 5.154 3.795 5.038
Tb 6.509 11.385 2.153
Tb 7.541 9.247 5.173
Tb 7.541 13.523 5.173
Al 1.248 0.542 3.439
Al 1.248 7.048 3.439
Al 1.389 11.385 3.551
Al 2.498 3.795 0.665
Al 2.640 8.133 0.554
Al 2.640 14.638 0.554
Al 5.135 0.542 5.216
Al 5.135 7.048 5.216
Al 5.277 11.385 5.105
Al 6.386 3.795 2.220
Al 6.527 8.133 2.331
Al 6.527 14.638 2.331
Ir 1.037 9.211 2.146
Ir 1.037 13.559 2.146
Ir 2.851 1.621 5.032
Ir 2.851 5.969 5.032
Ir 4.924 9.211 0.739
Ir 4.924 13.559 0.739
Ir 6.738 1.621 3.624
Ir 6.738 5.969 3.624
```

Results
- Total moment: 0.000 μB/atom
- ρ: 9.19 g/cm³
- Space-group type: Pnma, No. 62
- Raw total energy: -6.124 eV per atom


[11]
This record from Alexandria describes an optimized crystal structure of TbAl2Ir. The functional is PBE-GGA.

```
16
Lattice="6.523 0.000 0.000 0.000 6.523 0.000 0.000 0.000 6.523" Properties=species:S:1:pos:R:3 pbc="T T T"
Tb 0.000 0.000 0.000
Tb 0.000 3.262 3.262
Tb 3.262 0.000 3.262
Tb 3.262 3.262 0.000
Al 1.631 1.631 1.631
Al 1.631 1.631 4.892
Al 1.631 4.892 1.631
Al 1.631 4.892 4.892
Al 4.892 1.631 1.631
Al 4.892 1.631 4.892
Al 4.892 4.892 1.631
Al 4.892 4.892 4.892
Ir 0.000 0.000 3.262
Ir 0.000 3.262 0.000
Ir 3.262 0.000 0.000
Ir 3.262 3.262 3.262
```

Results
- Total moment: 0.000 μB/atom
- ρ: 9.69 g/cm³
- Space-group type: Fm-3m, No. 225
- Raw total energy: -5.782 eV per atom


[12]
This record from Alexandria describes an optimized crystal structure of TbAl4Ir2. The functional is PBE-GGA.

```
28
Lattice="17.200 0.000 0.000 0.000 4.268 0.000 0.000 0.000 6.614" Properties=species:S:1:pos:R:3 pbc="T T T"
Tb 2.407 1.067 0.113
Tb 6.193 3.201 3.421
Tb 11.008 1.067 3.194
Tb 14.793 3.201 6.501
Al 0.564 3.201 5.608
Al 1.196 1.067 3.268
Al 3.220 3.201 2.147
Al 3.336 3.201 4.820
Al 5.265 1.067 1.513
Al 5.380 1.067 5.454
Al 7.405 3.201 6.575
Al 8.036 1.067 2.301
Al 9.164 3.201 4.313
Al 9.796 1.067 0.039
Al 11.820 3.201 1.161
Al 11.936 3.201 5.101
Al 13.865 1.067 1.794
Al 13.980 1.067 4.468
Al 16.005 3.201 3.347
Al 16.636 1.067 1.006
Ir 0.664 3.201 1.616
Ir 3.704 1.067 3.498
Ir 4.896 3.201 0.190
Ir 7.937 1.067 4.923
Ir 9.264 3.201 1.692
Ir 12.304 1.067 6.424
Ir 13.497 3.201 3.117
Ir 16.537 1.067 4.999
```

Results
- Total moment: 0.000 μB/atom
- ρ: 8.91 g/cm³
- Space-group type: Pnma, No. 62
- Raw total energy: -6.136 eV per atom


no.,N(E_F) (states/eV/f.u.)
1,2.881
2,4.966
3,4.516
4,3.740
5,2.687
6,14.395
7,10.402
8,2.182
9,6.039
10,5.853
11,0.821
12,3.890